The following is a GGA+U calculation of a relaxed structure of RbGaFe2F8, from Alexandria via LeMat-Bulk.

Cell and atoms, written as extended XYZ:
```
12
Lattice="-3.2431 -2.0780 -3.2533 -0.5264 -4.6702 2.0644 -6.1552 1.0987 3.9039" Properties=species:S:1:pos:R:3 pbc="T T T"
F -6.1570 -3.2090 4.1157
F -6.8726 -0.5632 3.3726
F -3.7677 -2.4405 -1.4008
F -4.4874 -1.6877 1.3634
F -2.2228 -3.7725 1.7178
F -7.7019 -1.8770 0.9972
F -5.4372 -3.9618 1.3515
F -3.0521 -5.0863 -0.6577
Fe -6.1961 -2.2324 2.3524
Fe -3.7286 -3.4171 0.3625
Ga 0.0000 0.0000 0.0000
Rb -3.0776 0.5494 1.9520
```

Computed properties:
The electronic total energy comes out at -60.5 eV for the cell shown. The crystal system is triclinic.